Computed, not measured: a relaxed structure of SmMg11Rh at the PBE level of DFT.

formation energy from the elements	-169	kJ/mol of formula units
SG	No. 12
ρ	2.98	g/cm³
size of the total moment	0.00	μB per atom
uncorrected energy	-2.41	eV/atom

Cell: 7.713 7.713 7.669 Å, 97.54 97.54 137.01°
Fractional positions:
Sm1 0.000 0.000 0.000
Mg1 0.000 0.000 0.500
Mg2 0.000 0.500 0.000
Mg3 0.030 0.362 0.362
Mg4 0.303 0.506 0.779
Mg5 0.362 0.030 0.362
Mg6 0.494 0.697 0.221
Mg7 0.500 0.000 0.000
Mg8 0.506 0.303 0.779
Mg9 0.638 0.970 0.638
Mg10 0.697 0.494 0.221
Mg11 0.970 0.638 0.638
Rh1 0.500 0.500 0.500